No. 1
A relaxed structure of LaCe2Sc3As6. Source: the Alexandria database, functional GGA-PBE.

The structure in POSCAR format:
```
LaCe2Sc3As6
1.0
3.545 -6.140 0.000
3.545 6.140 0.000
-2.363 0.000 6.601
La Ce Sc As
1 2 3 6
Direct
0.000 0.000 0.000
0.333 0.667 0.000
0.667 0.333 0.000
0.165 0.835 0.500
0.500 0.500 0.500
0.835 0.165 0.500
0.091 0.431 0.272
0.249 0.249 0.727
0.431 0.091 0.272
0.569 0.909 0.728
0.751 0.751 0.273
0.909 0.569 0.728
```

Computed properties:
Space-group type: No. 12
E_form in eV per atom: -1.401

No. 2
A relaxed structure of CsBAs2Br. Source: the Alexandria database, functional GGA-PBE.

The structure in POSCAR format:
```
CsBAs2Br
1.0
6.208 0.000 0.000
0.000 6.208 0.000
0.000 0.000 6.573
Cs B As Br
1 1 2 1
Direct
0.000 0.000 0.000
0.500 0.500 0.500
0.000 0.500 0.000
0.500 0.000 0.000
0.000 0.000 0.500
```

Computed properties:
Space-group type: No. 123
E_form (uncorrected) in eV/atom: 1.96
Distance to the lowest polymorph of the same formula in eV/atom: 1.696

No. 3
A relaxed structure of Re2RuSe. Source: the Alexandria database, functional GGA-PBE.

The structure in POSCAR format:
```
Re2RuSe
1.0
1.432 0.827 8.463
-1.432 0.827 8.463
0.000 -1.654 8.463
Re Ru Se
2 1 1
Direct
0.000 0.000 0.000
0.248 0.248 0.248
0.750 0.750 0.750
0.499 0.499 0.499
```

Computed properties:
Space-group type: No. 160
E_form (uncorrected) in eV/atom: 0.26
Distance to the lowest polymorph of the same formula in eV/atom: 0.007

No. 4
A relaxed structure of YHfBe3. Source: the Alexandria database, functional GGA-PBE.

The structure in POSCAR format:
```
YHfBe3
1.0
4.630 0.000 0.000
0.000 4.630 0.000
0.000 0.000 4.630
Y Hf Be
1 1 3
Direct
0.000 0.000 0.000
0.500 0.500 0.500
0.000 0.500 0.500
0.500 0.000 0.500
0.500 0.500 0.000
```

Computed properties:
Space-group type: No. 221
E_form in eV per atom: 1.000
Distance to the lowest polymorph of the same formula in eV/atom: 0.000